[1]
Computed, not measured: KMn3Cr after structural relaxation at the PBE-GGA level of DFT.

Its density of states at the Fermi level is 4.73 states/eV/cell. Its formation energy is 1.032 eV/atom.

```
data_KMn3Cr
_cell_length_a 4.803
_cell_length_b 4.803
_cell_length_c 4.803
_cell_angle_alpha 90.00
_cell_angle_beta 90.00
_cell_angle_gamma 90.00
_space_group_name_H-M_alt 'P m -3 m'
_space_group_IT_number 221
_space_group_name_Hall '-P 4 2 3'
loop_
_atom_site_label
_atom_site_type_symbol
_atom_site_fract_x
_atom_site_fract_y
_atom_site_fract_z
K1 K 0.000 0.000 0.000
Mn1 Mn 0.000 0.500 0.500
Cr1 Cr 0.500 0.500 0.500
```

=====

[2]
Computed, not measured: Na2Br3F6 after structural relaxation at the PBE-GGA level of DFT.

Its density of states at the Fermi level is 33.17 states/eV/cell. As for the raw formation energy: -1.458 eV/atom.

```
data_Na2Br3F6
_cell_length_a 11.069
_cell_length_b 6.302
_cell_length_c 13.358
_cell_angle_alpha 90.00
_cell_angle_beta 106.07
_cell_angle_gamma 90.00
_space_group_name_H-M_alt 'C 1 2/c 1'
_space_group_IT_number 15
loop_
_space_group_symop_operation_xyz
'x,y,z'
'-x,-y,-z'
'-x,y,-z+1/2'
'x,-y,z+1/2'
'x+1/2,y+1/2,z'
'-x+1/2,-y+1/2,-z'
'-x+1/2,y+1/2,-z+1/2'
'x+1/2,-y+1/2,z+1/2'
loop_
_atom_site_label
_atom_site_type_symbol
_atom_site_fract_x
_atom_site_fract_y
_atom_site_fract_z
Na1 Na 0.084 0.250 0.498
Br1 Br 0.000 0.072 0.750
Br2 Br 0.160 0.410 0.250
F1 F 0.022 0.064 0.901
F2 F 0.092 0.446 0.099
F3 F 0.220 0.366 0.401
```

=====

[3]
Computed, not measured: LaScBr2 after structural relaxation at the PBE-GGA level of DFT.

Its density of states at the Fermi level is 4.97 states/eV/cell. As for the raw formation energy: -0.918 eV/atom. The value obtained for the energy above the lowest structure with this stoichiometry is 192.9 meV per atom.

```
data_LaScBr2
_cell_length_a 12.327
_cell_length_b 3.609
_cell_length_c 5.177
_cell_angle_alpha 90.00
_cell_angle_beta 108.13
_cell_angle_gamma 90.00
_space_group_name_H-M_alt 'C 1 m 1'
_space_group_IT_number 8
loop_
_space_group_symop_operation_xyz
'x,y,z'
'x,-y,z'
'x+1/2,y+1/2,z'
'x+1/2,-y+1/2,z'
loop_
_atom_site_label
_atom_site_type_symbol
_atom_site_fract_x
_atom_site_fract_y
_atom_site_fract_z
La1 La 0.000 0.000 0.000
Sc1 Sc 0.221 0.500 0.390
Br1 Br 0.024 0.500 0.519
Br2 Br 0.261 0.000 0.006
```

=====

[4]
Computed, not measured: Ca2CuNiAg after structural relaxation at the PBE-GGA level of DFT.

Its density of states at the Fermi level is 2.49 states/eV/cell. Its formation energy is 0.183 eV/atom.

```
data_Ca2CuNiAg
_cell_length_a 5.361
_cell_length_b 5.361
_cell_length_c 4.398
_cell_angle_alpha 90.00
_cell_angle_beta 90.00
_cell_angle_gamma 90.00
_space_group_name_H-M_alt 'P 4/m m m'
_space_group_IT_number 123
_space_group_name_Hall '-P 4 2'
loop_
_atom_site_label
_atom_site_type_symbol
_atom_site_fract_x
_atom_site_fract_y
_atom_site_fract_z
Ca1 Ca 0.000 0.500 0.000
Cu1 Cu 0.000 0.000 0.000
Ni1 Ni 0.000 0.000 0.500
Ag1 Ag 0.500 0.500 0.500
```

=====

[5]
Computed, not measured: LaFeP2Ru after structural relaxation at the PBE-GGA level of DFT.

Its density of states at the Fermi level is 6.92 states/eV/cell. Its formation energy is -0.988 eV/atom.

```
data_LaFeP2Ru
_cell_length_a 3.940
_cell_length_b 3.940
_cell_length_c 10.900
_cell_angle_alpha 90.00
_cell_angle_beta 90.00
_cell_angle_gamma 90.00
_space_group_name_H-M_alt 'I -4 m 2'
_space_group_IT_number 119
_space_group_name_Hall 'I -4 -2'
loop_
_atom_site_label
_atom_site_type_symbol
_atom_site_fract_x
_atom_site_fract_y
_atom_site_fract_z
La1 La 0.000 0.000 0.000
Fe1 Fe 0.000 0.500 0.750
P1 P 0.000 0.000 0.355
Ru1 Ru 0.000 0.500 0.250
```

=====

[6]
Computed, not measured: HfTlW2 after structural relaxation at the PBE-GGA level of DFT.

Its density of states at the Fermi level is 15.90 states/eV/cell. Its formation energy is 1.322 eV/atom. The value obtained for the energy above the lowest structure with this stoichiometry is 471.2 meV per atom.

```
data_HfTlW2
_cell_length_a 7.660
_cell_length_b 7.660
_cell_length_c 5.646
_cell_angle_alpha 90.00
_cell_angle_beta 90.00
_cell_angle_gamma 90.00
_space_group_name_H-M_alt 'I -4 2 d'
_space_group_IT_number 122
_space_group_name_Hall 'I -4 2bw'
loop_
_atom_site_label
_atom_site_type_symbol
_atom_site_fract_x
_atom_site_fract_y
_atom_site_fract_z
Hf1 Hf 0.000 0.000 0.000
Tl1 Tl 0.000 0.000 0.500
W1 W 0.248 0.250 0.125
```

=====

[7]
Computed, not measured: ErNpCl6 after structural relaxation at the PBE-GGA level of DFT.

Its density of states at the Fermi level is 9.42 states/eV/cell. As for the raw formation energy: -1.971 eV/atom.

```
data_ErNpCl6
_cell_length_a 6.778
_cell_length_b 12.393
_cell_length_c 6.674
_cell_angle_alpha 90.00
_cell_angle_beta 105.85
_cell_angle_gamma 90.00
_space_group_name_H-M_alt 'C 1 2/m 1'
_space_group_IT_number 12
loop_
_space_group_symop_operation_xyz
'x,y,z'
'-x,-y,-z'
'-x,y,-z'
'x,-y,z'
'x+1/2,y+1/2,z'
'-x+1/2,-y+1/2,-z'
'-x+1/2,y+1/2,-z'
'x+1/2,-y+1/2,z'
loop_
_atom_site_label
_atom_site_type_symbol
_atom_site_fract_x
_atom_site_fract_y
_atom_site_fract_z
Er1 Er 0.000 0.000 0.000
Np1 Np 0.000 0.500 0.500
Cl1 Cl 0.239 0.143 0.242
Cl2 Cl 0.244 0.000 0.754
```

=====

[8]
Computed, not measured: NdSnGe2 after structural relaxation at the PBE-GGA level of DFT.

Its density of states at the Fermi level is 2.12 states/eV/cell. Its formation energy is -0.429 eV/atom. The value obtained for the energy above the lowest structure with this stoichiometry is 0.0 meV per atom.

```
data_NdSnGe2
_cell_length_a 4.679
_cell_length_b 4.679
_cell_length_c 4.252
_cell_angle_alpha 90.00
_cell_angle_beta 90.00
_cell_angle_gamma 90.00
_space_group_name_H-M_alt 'P 4/m m m'
_space_group_IT_number 123
_space_group_name_Hall '-P 4 2'
loop_
_atom_site_label
_atom_site_type_symbol
_atom_site_fract_x
_atom_site_fract_y
_atom_site_fract_z
Nd1 Nd 0.000 0.000 0.000
Sn1 Sn 0.500 0.500 0.000
Ge1 Ge 0.000 0.500 0.500
```

=====

[9]
Computed, not measured: LiMgNO2 after structural relaxation at the PBE-GGA level of DFT.

Its density of states at the Fermi level is 1.00 states/eV/cell. As for the raw formation energy: -0.132 eV/atom.

```
data_LiMgNO2
_cell_length_a 3.941
_cell_length_b 3.941
_cell_length_c 4.239
_cell_angle_alpha 90.00
_cell_angle_beta 90.00
_cell_angle_gamma 90.00
_space_group_name_H-M_alt 'P 4/m m m'
_space_group_IT_number 123
_space_group_name_Hall '-P 4 2'
loop_
_atom_site_label
_atom_site_type_symbol
_atom_site_fract_x
_atom_site_fract_y
_atom_site_fract_z
Li1 Li 0.000 0.000 0.000
Mg1 Mg 0.500 0.500 0.500
N1 N 0.500 0.500 0.000
O1 O 0.000 0.500 0.500
```

=====

[10]
Computed, not measured: Sc3AlHg after structural relaxation at the PBE-GGA level of DFT.

Its density of states at the Fermi level is 10.96 states/eV/cell. Its formation energy is 0.281 eV/atom. The value obtained for the energy above the lowest structure with this stoichiometry is 595.7 meV per atom.

```
data_Sc3AlHg
_cell_length_a 5.129
_cell_length_b 5.129
_cell_length_c 5.129
_cell_angle_alpha 90.00
_cell_angle_beta 90.00
_cell_angle_gamma 90.00
_space_group_name_H-M_alt 'P m -3 m'
_space_group_IT_number 221
_space_group_name_Hall '-P 4 2 3'
loop_
_atom_site_label
_atom_site_type_symbol
_atom_site_fract_x
_atom_site_fract_y
_atom_site_fract_z
Sc1 Sc 0.000 0.000 0.500
Al1 Al 0.000 0.000 0.000
Hg1 Hg 0.500 0.500 0.500
```

=====

[11]
Computed, not measured: La3Ce2Hg3 after structural relaxation at the PBE-GGA level of DFT.

Its density of states at the Fermi level is 30.04 states/eV/cell. Its formation energy is -0.312 eV/atom.

```
data_La3Ce2Hg3
_cell_length_a 3.723
_cell_length_b 5.626
_cell_length_c 22.575
_cell_angle_alpha 90.00
_cell_angle_beta 90.00
_cell_angle_gamma 90.00
_space_group_name_H-M_alt 'I m m m'
_space_group_IT_number 71
_space_group_name_Hall '-I 2 2'
loop_
_atom_site_label
_atom_site_type_symbol
_atom_site_fract_x
_atom_site_fract_y
_atom_site_fract_z
La1 La 0.000 0.000 0.000
La2 La 0.000 0.500 0.123
Ce1 Ce 0.000 0.000 0.246
Hg1 Hg 0.000 0.000 0.500
Hg2 Hg 0.000 0.500 0.370
```

=====

[12]
Computed, not measured: Ac2Sb3PdRh4 after structural relaxation at the PBE-GGA level of DFT.

Its density of states at the Fermi level is 6.24 states/eV/cell. As for the raw formation energy: -0.767 eV/atom.

```
data_Ac2Sb3PdRh4
_cell_length_a 4.389
_cell_length_b 4.389
_cell_length_c 11.466
_cell_angle_alpha 90.00
_cell_angle_beta 90.00
_cell_angle_gamma 90.00
_space_group_name_H-M_alt 'P -4 m 2'
_space_group_IT_number 115
loop_
_space_group_symop_operation_xyz
'x,y,z'
'y,-x,-z'
'-x,-y,z'
'-y,x,-z'
'-x,y,z'
'-y,-x,-z'
'x,-y,z'
'y,x,-z'
loop_
_atom_site_label
_atom_site_type_symbol
_atom_site_fract_x
_atom_site_fract_y
_atom_site_fract_z
Ac1 Ac 0.000 0.500 0.232
Sb1 Sb 0.000 0.000 0.000
Sb2 Sb 0.000 0.500 0.628
Pd1 Pd 0.500 0.500 0.000
Rh1 Rh 0.000 0.000 0.500
Rh2 Rh 0.000 0.500 0.855
Rh3 Rh 0.500 0.500 0.500
```

=====

[13]
Computed, not measured: HoCd2Hg2 after structural relaxation at the PBE-GGA level of DFT.

Its density of states at the Fermi level is 5.86 states/eV/cell. Its formation energy is -0.251 eV/atom.

```
data_HoCd2Hg2
_cell_length_a 4.8866
_cell_length_b 4.8866
_cell_length_c 17.2113
_cell_angle_alpha 90.00
_cell_angle_beta 90.00
_cell_angle_gamma 120.00
_space_group_name_H-M_alt 'R -3 m'
_space_group_IT_number 166
_space_group_name_Hall '-R 3 2"'
loop_
_atom_site_label
_atom_site_type_symbol
_atom_site_fract_x
_atom_site_fract_y
_atom_site_fract_z
Ho1 Ho 0.0000 0.0000 0.0000
Cd1 Cd 0.0000 0.0000 0.2024
Hg1 Hg 0.0000 0.0000 0.4056
```